Record 1
This record from Alexandria via LeMat-Bulk describes a PBEsol-optimized structure of MgZnIn. The functional is SCAN.

Lattice parameters (Å, degrees): 3.0918 3.0918 12.4842 90.00 90.00 90.00
Last column: nearest neighbours and their distance in Å.
Element x y z (fractional)
Mg1 0.0000 0.0000 0.0000  4 Zn 2.86, 4 Mg 3.09
Mg2 0.5000 0.5000 0.5000  4 Zn 2.86, 4 Mg 3.09
Zn1 0.0000 0.0000 0.6471  4 Mg 2.86, 4 In 3.00, 4 Zn 3.09
Zn2 0.5000 0.5000 0.1471  4 Mg 2.86, 4 In 3.00, 4 Zn 3.09
In1 0.0000 0.0000 0.3122  4 Zn 3.00, 4 In 3.09, 4 Mg 3.21
In2 0.5000 0.5000 0.8122  4 Zn 3.00, 4 In 3.09, 4 Mg 3.21

Values from the calculation:
Calculated volume = 119.3 Å³ per cell
Total energy = -103.98 eV for the cell shown

---

Record 2
This record from Alexandria via LeMat-Bulk describes a PBEsol-optimized structure of TlCoSbI2. The functional is SCAN.

Lattice parameters (Å, degrees): 5.9162 5.9162 5.6705 90.00 90.00 90.00
Last column: nearest neighbours and their distance in Å.
Element x y z (fractional)
Tl1 0.0000 0.0000 0.0000  2 Sb 2.84, 4 I 2.96
Co1 0.5000 0.5000 0.5000  8 I 4.10, 4 Sb 4.18
Sb1 0.0000 0.0000 0.5000  2 Tl 2.84
I1 0.0000 0.5000 0.0000  2 Tl 2.96
I2 0.5000 0.0000 0.0000  2 Tl 2.96

Values from the calculation:
Calculated volume = 198.5 Å³ per cell
Formation energy from raw total energies = 1042.7 meV/atom
Total energy = -195.19 eV for the cell shown

---

Record 3
This record from Alexandria via LeMat-Bulk describes a PBEsol-optimized structure of K2Nd2IrO7. The functional is SCAN.

Lattice parameters (Å, degrees): 13.0274 13.0274 13.0274 25.06 25.06 25.06
Last column: nearest neighbours and their distance in Å.
Element x y z (fractional)
K1 0.0867 0.0867 0.0867  6 O 2.64-2.78
K2 0.4133 0.4133 0.4133  6 O 2.64-2.78
K3 0.5867 0.5867 0.5867  6 O 2.64-2.78
K4 0.9133 0.9133 0.9133  6 O 2.64-2.78
Nd1 0.1905 0.1905 0.1905  4 O 2.25-2.38
Nd2 0.3095 0.3095 0.3095  4 O 2.25-2.38
Nd3 0.6905 0.6905 0.6905  4 O 2.25-2.38
Nd4 0.8095 0.8095 0.8095  4 O 2.25-2.38
Ir1 0.0000 0.0000 0.0000  6 O 1.94
Ir2 0.5000 0.5000 0.5000  6 O 1.94
O1 0.1101 0.7042 0.2677  1 Ir 1.94
O2 0.2042 0.6101 0.7677  1 Ir 1.94
O3 0.2323 0.7958 0.3899  1 Ir 1.94
O4 0.2500 0.2500 0.2500  2 Nd 2.25
O5 0.2677 0.1101 0.7042  1 Ir 1.94
O6 0.2958 0.7323 0.8899  1 Ir 1.94
O7 0.3899 0.2323 0.7958  1 Ir 1.94
O8 0.6101 0.7677 0.2042  1 Ir 1.94
O9 0.7042 0.2677 0.1101  1 Ir 1.94
O10 0.7323 0.8899 0.2958  1 Ir 1.94
O11 0.7500 0.7500 0.7500  2 Nd 2.25
O12 0.7677 0.2042 0.6101  1 Ir 1.94
O13 0.7958 0.3899 0.2323  1 Ir 1.94
O14 0.8899 0.2958 0.7323  1 Ir 1.94

Values from the calculation:
Calculated volume = 348.9 Å³ per cell
Formation energy from raw total energies = -2319.5 meV/atom
Total energy = -492.75 eV for the cell shown

---

Record 4
This record from Alexandria via LeMat-Bulk describes a PBEsol-optimized structure of TcAu4. The functional is SCAN.

Lattice parameters (Å, degrees): 3.7129 3.7129 13.6352 90.00 90.00 90.00
Last column: nearest neighbours and their distance in Å.
Element x y z (fractional)
Tc1 0.0000 0.0000 0.0000  8 Au 2.93
Tc2 0.5000 0.5000 0.5000  8 Au 2.93
Au1 0.0000 0.0000 0.4042  5 Au 2.61-2.80
Au2 0.0000 0.0000 0.5958  5 Au 2.61-2.80
Au3 0.0000 0.5000 0.2500  8 Au 2.63-2.80
Au4 0.0000 0.5000 0.7500  8 Au 2.63-2.80
Au5 0.5000 0.0000 0.2500  8 Au 2.63-2.80
Au6 0.5000 0.0000 0.7500  8 Au 2.63-2.80
Au7 0.5000 0.5000 0.0958  5 Au 2.61-2.80
Au8 0.5000 0.5000 0.9042  5 Au 2.61-2.80

Values from the calculation:
Calculated volume = 188.0 Å³ per cell
Total energy = -618.61 eV for the cell shown

---

Record 5
This record from Alexandria via LeMat-Bulk describes a PBEsol-optimized structure of Nb3SbIr. The functional is SCAN.

Lattice parameters (Å, degrees): 4.8631 4.8631 4.8631 90.00 90.00 90.00
Last column: nearest neighbours and their distance in Å.
Element x y z (fractional)
Nb1 0.0000 0.0000 0.5000  2 Sb 2.43
Nb2 0.0000 0.5000 0.0000  2 Sb 2.43
Nb3 0.5000 0.0000 0.0000  2 Sb 2.43
Sb1 0.0000 0.0000 0.0000  6 Nb 2.43
Ir1 0.5000 0.5000 0.5000  12 Nb 3.44

Values from the calculation:
Calculated volume = 115.0 Å³ per cell
Formation energy from raw total energies = 1878.9 meV/atom
Total energy = -198.35 eV for the cell shown

---

Record 6
This record from Alexandria via LeMat-Bulk describes a PBEsol-optimized structure of KIn2Ag. The functional is SCAN.

Lattice parameters (Å, degrees): 4.4874 4.6029 4.9569 90.00 90.00 90.00
Last column: nearest neighbours and their distance in Å.
Element x y z (fractional)
K1 0.0000 0.0000 0.0000  4 Ag 3.21, 8 In 3.34-3.38
In1 0.0000 0.5000 0.5000  4 In 3.21, 4 Ag 3.34, 4 K 3.38
In2 0.5000 0.0000 0.5000  4 In 3.21, 4 K 3.34, 4 Ag 3.38
Ag1 0.5000 0.5000 0.0000  4 K 3.21, 8 In 3.34-3.38

Values from the calculation:
Calculated volume = 102.4 Å³ per cell
Total energy = -106.04 eV for the cell shown